1.
VASP calculation (meta-GGA SCAN) on K2TeP at its PBEsol-relaxed geometry.

- DOS(E_F): 3.496 states/eV per cell
- ΔE_f (raw): -0.62 eV per formula unit
- Crystal system: tetragonal

a = 4.8164 Å, b = 4.8164 Å, c = 6.0785 Å
α = 113.34°, β = 113.34°, γ = 90.00°
Closest atoms and distances in Å follow each position.
Fractional positions:
K1 0.7500 0.2500 0.5000  4 Te 3.41, 4 K 3.48, 4 P 3.48
Te1 0.2500 0.7500 0.5000  8 K 3.41-3.48, 4 P 3.48
P1 0.5000 0.5000 0.0000  8 K 3.41-3.48, 4 Te 3.48
K2 0.0000 0.0000 0.0000  4 P 3.41, 4 K 3.48, 4 Te 3.48

2.
VASP calculation (meta-GGA SCAN) on K5TeP at its PBEsol-relaxed geometry.

- ΔE_f (raw): -4.88 eV per formula unit
- Crystal system: tetragonal

a = 5.4639 Å, b = 5.4639 Å, c = 8.4553 Å
α = 90.00°, β = 90.00°, γ = 90.00°
Closest atoms and distances in Å follow each position.
Fractional positions:
K1 0.5000 0.0000 0.2012  2 P 3.22, 1 K 3.40
Te1 0.0000 0.0000 0.5000  12 K 3.72-3.86
K2 0.5000 0.5000 0.5000  8 K 3.72, 4 Te 3.86
K3 0.5000 0.0000 0.7988  2 P 3.22, 1 K 3.40
K4 0.0000 0.5000 0.7988  2 P 3.22, 1 K 3.40
P1 0.5000 0.5000 0.0000  8 K 3.22
K5 0.0000 0.5000 0.2012  2 P 3.22, 1 K 3.40

3.
VASP calculation (meta-GGA SCAN) on K3Te3P at its PBEsol-relaxed geometry.

- DOS(E_F): 0.000 states/eV per cell
- ΔE_f (raw): -5.59 eV per formula unit
- Polymorph energy (0 for the lowest one): 0.00 eV/f.u.
- Crystal system: cubic

a = 10.2313 Å, b = 10.2313 Å, c = 10.2313 Å
α = 90.00°, β = 90.00°, γ = 90.00°
Closest atoms and distances in Å follow each position.
Fractional positions:
Te1 0.7568 0.8546 0.5406  1 P 2.52
K1 0.9321 0.4321 0.0679  6 Te 3.46-3.52, 1 P 3.63
Te2 0.2568 0.6454 0.4594  1 P 2.52
K2 0.4306 0.9306 0.5694  6 Te 3.44-3.60
K3 0.8268 0.1732 0.6732  6 Te 3.60-3.87
Te3 0.4594 0.2568 0.6454  1 P 2.52
K4 0.9306 0.5694 0.4306  6 Te 3.44-3.60
K5 0.1732 0.6732 0.8268  6 Te 3.60-3.87
P1 0.2724 0.7276 0.2276  3 Te 2.52
Te4 0.2432 0.3546 0.9594  1 P 2.52
K6 0.3268 0.3268 0.3268  6 Te 3.60-3.87
K7 0.5694 0.4306 0.9306  6 Te 3.44-3.60
Te5 0.6454 0.4594 0.2568  1 P 2.52
K8 0.0679 0.9321 0.4321  6 Te 3.46-3.52, 1 P 3.63
P2 0.2276 0.2724 0.7276  3 Te 2.52
Te6 0.5406 0.7568 0.8546  1 P 2.52
Te7 0.0406 0.7432 0.1454  1 P 2.52
Te8 0.9594 0.2432 0.3546  1 P 2.52
Te9 0.8546 0.5406 0.7568  1 P 2.52
Te10 0.7432 0.1454 0.0406  1 P 2.52
Te11 0.1454 0.0406 0.7432  1 P 2.52
K9 0.5679 0.5679 0.5679  6 Te 3.46-3.52, 1 P 3.63
K10 0.4321 0.0679 0.9321  6 Te 3.46-3.52, 1 P 3.63
Te12 0.3546 0.9594 0.2432  1 P 2.52
K11 0.6732 0.8268 0.1732  6 Te 3.60-3.87
P3 0.7724 0.7724 0.7724  3 Te 2.52
K12 0.0694 0.0694 0.0694  6 Te 3.44-3.60
P4 0.7276 0.2276 0.2724  3 Te 2.52